Record 1
CuPt14Rh: optimized geometry, PBE.

Unit cell a=9.2426 b=5.5615 c=5.5615 alpha=60.07 beta=90.00 gamma=90.00
Closest atoms and distances in Å follow each position.
Positions (direct):
Cu 0.0000 0.0000 0.0000  10 Pt 2.76-2.79, 2 Rh 2.78
Pt 0.0000 0.0015 0.5000  2 Rh 2.77-2.79, 8 Pt 2.78-2.79, 2 Cu 2.78-2.79
Pt 0.0000 0.5000 0.0015  2 Rh 2.77-2.79, 8 Pt 2.78-2.79, 2 Cu 2.78-2.79
Pt 0.2434 0.3306 0.8326  1 Cu 2.76, 10 Pt 2.76-2.87, 1 Rh 2.76
Pt 0.2434 0.8326 0.3306  1 Cu 2.76, 10 Pt 2.76-2.87, 1 Rh 2.76
Pt 0.2455 0.8336 0.8336  11 Pt 2.76-2.86, 1 Cu 2.78
Pt 0.2476 0.3332 0.3332  11 Pt 2.77-2.84, 1 Rh 2.79
Pt 0.5000 0.1645 0.6656  12 Pt 2.78-2.86
Pt 0.5000 0.1647 0.1647  12 Pt 2.78-2.86
Pt 0.5000 0.6646 0.6646  12 Pt 2.78-2.87
Pt 0.5000 0.6656 0.1645  12 Pt 2.78-2.86
Pt 0.7524 0.3332 0.3332  11 Pt 2.77-2.84, 1 Rh 2.79
Pt 0.7545 0.8336 0.8336  11 Pt 2.76-2.86, 1 Cu 2.78
Pt 0.7566 0.3306 0.8326  1 Cu 2.76, 10 Pt 2.76-2.87, 1 Rh 2.76
Pt 0.7566 0.8326 0.3306  1 Cu 2.76, 10 Pt 2.76-2.87, 1 Rh 2.76
Rh 0.0000 0.4994 0.4994  10 Pt 2.76-2.79, 2 Cu 2.78

Results
- formation enthalpy at 0 K (meV per atom) = -6
- total magnetic moment (Bohr magnetons per cell) = 0.000

Record 2
TaNi2B4: optimized geometry, PBE.

Unit cell a=6.6416 b=6.6416 c=6.6416 alpha=153.50 beta=152.07 gamma=38.88
Closest atoms and distances in Å follow each position.
Positions (direct):
Ta 0.0000 0.0000 0.0000  12 B 2.40-2.42
Ni 0.1883 0.6883 0.5000  7 B 2.09-2.28
Ni 0.8117 0.3117 0.5000  7 B 2.09-2.28
B 0.3547 0.8547 0.5000  2 B 1.77
B 0.4263 0.4263 0.0000  3 B 1.77-1.85
B 0.5737 0.5737 0.0000  3 B 1.77-1.85
B 0.6453 0.1453 0.5000  2 B 1.77

Results
- formation enthalpy at 0 K (meV per atom) = -437
- total magnetic moment (Bohr magnetons per cell) = 0.000

Record 3
TbPu2Tl3Se6: optimized geometry, PBE.

Unit cell a=7.3261 b=7.3261 c=8.1037 alpha=98.66 beta=98.66 gamma=119.99
Closest atoms and distances in Å follow each position.
Positions (direct):
Tb 0.0000 0.0000 0.0000  6 Se 2.90-2.91
Pu 0.3334 0.6666 0.0000  6 Se 2.91
Pu 0.6666 0.3334 0.0000  6 Se 2.91
Tl 0.1674 0.8326 0.5000  6 Se 3.34-3.35
Tl 0.5000 0.5000 0.5000  6 Se 3.34
Tl 0.8326 0.1674 0.5000  6 Se 3.34-3.35
Se 0.0680 0.4008 0.2043  1 Tb 2.90, 2 Pu 2.91
Se 0.2646 0.2646 0.7953  1 Tb 2.91, 2 Pu 2.91
Se 0.4008 0.0680 0.2043  1 Tb 2.90, 2 Pu 2.91
Se 0.5992 0.9320 0.7957  1 Tb 2.90, 2 Pu 2.91
Se 0.7354 0.7354 0.2047  1 Tb 2.91, 2 Pu 2.91
Se 0.9320 0.5992 0.7957  1 Tb 2.90, 2 Pu 2.91

Results
- uncorrected formation energy (eV per atom) = -1.19
- total magnetic moment (Bohr magnetons per cell) = 10.000

Record 4
HfBe5Al: optimized geometry, PBE.

Unit cell a=7.3966 b=4.3432 c=9.4516 alpha=90.00 beta=90.00 gamma=90.00
Closest atoms and distances in Å follow each position.
Positions (direct):
Hf 0.2248 0.2500 0.0605  10 Be 2.61-2.93, 1 Al 2.84
Hf 0.2752 0.7500 0.5605  10 Be 2.61-2.93, 1 Al 2.84
Hf 0.7248 0.2500 0.4395  10 Be 2.61-2.93, 1 Al 2.84
Hf 0.7752 0.7500 0.9395  10 Be 2.61-2.93, 1 Al 2.84
Be 0.0368 0.7500 0.1255  4 Be 2.12-2.23
Be 0.0589 0.0002 0.3172  7 Be 2.12-2.28
Be 0.0589 0.4998 0.3172  7 Be 2.12-2.28
Be 0.0665 0.2500 0.5146  5 Be 2.14-2.31
Be 0.2047 0.2500 0.7337  7 Be 2.17-2.31
Be 0.2953 0.7500 0.2337  7 Be 2.17-2.31
Be 0.4335 0.7500 0.0146  5 Be 2.14-2.31
Be 0.4411 0.9998 0.8172  7 Be 2.12-2.28
Be 0.4411 0.5002 0.8172  7 Be 2.12-2.28
Be 0.4632 0.2500 0.6255  4 Be 2.12-2.23
Be 0.5368 0.7500 0.3745  4 Be 2.12-2.23
Be 0.5589 0.0002 0.1828  7 Be 2.12-2.28
Be 0.5589 0.4998 0.1828  7 Be 2.12-2.28
Be 0.5665 0.2500 0.9854  5 Be 2.14-2.31
Be 0.7047 0.2500 0.7663  7 Be 2.17-2.31
Be 0.7953 0.7500 0.2663  7 Be 2.17-2.31
Be 0.9335 0.7500 0.4854  5 Be 2.14-2.31
Be 0.9411 0.9998 0.6828  7 Be 2.12-2.28
Be 0.9411 0.5002 0.6828  7 Be 2.12-2.28
Be 0.9632 0.2500 0.8745  4 Be 2.12-2.23
Al 0.1447 0.7500 0.8574  10 Be 2.48-2.66
Al 0.3553 0.2500 0.3574  10 Be 2.48-2.66
Al 0.6447 0.7500 0.6426  10 Be 2.48-2.66
Al 0.8553 0.2500 0.1426  10 Be 2.48-2.66

Results
- formation enthalpy at 0 K (meV per atom) = -174
- total magnetic moment (Bohr magnetons per cell) = 0.000

Record 5
ErB2Rh6: optimized geometry, PBE.

Unit cell a=7.4206 b=7.4206 c=7.4206 alpha=60.00 beta=60.00 gamma=60.00
Closest atoms and distances in Å follow each position.
Positions (direct):
Er 0.1250 0.1250 0.1250  6 Rh 3.03
Er 0.8750 0.8750 0.8750  6 Rh 3.03
B 0.0000 0.5000 0.5000  6 Rh 2.06
B 0.5000 0.0000 0.5000  6 Rh 2.06
B 0.5000 0.5000 0.0000  6 Rh 2.06
B 0.5000 0.5000 0.5000  6 Rh 2.06
Rh 0.1639 0.1639 0.5861  2 B 2.06
Rh 0.1639 0.5861 0.1639  2 B 2.06
Rh 0.1639 0.5861 0.5861  2 B 2.06
Rh 0.4139 0.4139 0.8361  2 B 2.06
Rh 0.4139 0.8361 0.4139  2 B 2.06
Rh 0.4139 0.8361 0.8361  2 B 2.06
Rh 0.5861 0.1639 0.1639  2 B 2.06
Rh 0.5861 0.1639 0.5861  2 B 2.06
Rh 0.5861 0.5861 0.1639  2 B 2.06
Rh 0.8361 0.4139 0.4139  2 B 2.06
Rh 0.8361 0.4139 0.8361  2 B 2.06
Rh 0.8361 0.8361 0.4139  2 B 2.06

Results
- formation enthalpy at 0 K (meV per atom) = -72
- total magnetic moment (Bohr magnetons per cell) = 2.410

Record 6
Na3Cr5H12: optimized geometry, PBE.

Unit cell a=10.3120 b=10.3120 c=10.3120 alpha=109.47 beta=109.47 gamma=109.47
Closest atoms and distances in Å follow each position.
Positions (direct):
Na 0.1250 0.2500 0.3750  8 H 2.29-2.44
Na 0.1250 0.3750 0.7500  8 H 2.29-2.44
Na 0.2500 0.3750 0.1250  8 H 2.29-2.44
Na 0.2500 0.8750 0.6250  8 H 2.29-2.44
Na 0.3750 0.1250 0.2500  8 H 2.29-2.44
Na 0.3750 0.7500 0.1250  8 H 2.29-2.44
Na 0.6250 0.2500 0.8750  8 H 2.29-2.44
Na 0.6250 0.8750 0.7500  8 H 2.29-2.44
Na 0.7500 0.1250 0.3750  8 H 2.29-2.44
Na 0.7500 0.6250 0.8750  8 H 2.29-2.44
Na 0.8750 0.6250 0.2500  8 H 2.29-2.44
Na 0.8750 0.7500 0.6250  8 H 2.29-2.44
Cr 0.0000 0.0000 0.0000  6 H 1.80
Cr 0.0000 0.0000 0.5000  6 H 1.80
Cr 0.0000 0.5000 0.0000  6 H 1.80
Cr 0.0000 0.5000 0.5000  6 H 1.80
Cr 0.1250 0.7500 0.8750  4 H 1.83
Cr 0.1250 0.8750 0.2500  4 H 1.83
Cr 0.2500 0.1250 0.8750  4 H 1.83
Cr 0.2500 0.6250 0.3750  4 H 1.83
Cr 0.3750 0.2500 0.6250  4 H 1.83
Cr 0.3750 0.6250 0.7500  4 H 1.83
Cr 0.5000 0.0000 0.0000  6 H 1.80
Cr 0.5000 0.0000 0.5000  6 H 1.80
Cr 0.5000 0.5000 0.0000  6 H 1.80
Cr 0.5000 0.5000 0.5000  6 H 1.80
Cr 0.6250 0.3750 0.2500  4 H 1.83
Cr 0.6250 0.7500 0.3750  4 H 1.83
Cr 0.7500 0.3750 0.6250  4 H 1.83
Cr 0.7500 0.8750 0.1250  4 H 1.83
Cr 0.8750 0.1250 0.7500  4 H 1.83
Cr 0.8750 0.2500 0.1250  4 H 1.83
H 0.0207 0.1887 0.1151  2 Cr 1.80-1.83
H 0.0207 0.3321 0.9056  2 Cr 1.80-1.83
H 0.0735 0.6887 0.6679  2 Cr 1.80-1.83
H 0.0735 0.8849 0.4056  2 Cr 1.80-1.83
H 0.0944 0.6151 0.4265  2 Cr 1.80-1.83
H 0.0944 0.9793 0.6679  2 Cr 1.80-1.83
H 0.1151 0.0207 0.1887  2 Cr 1.80-1.83
H 0.1151 0.5944 0.9265  2 Cr 1.80-1.83
H 0.1679 0.1887 0.5735  2 Cr 1.80-1.83
H 0.1679 0.4793 0.5944  2 Cr 1.80-1.83
H 0.1887 0.1151 0.0207  2 Cr 1.80-1.83
H 0.1887 0.5735 0.1679  2 Cr 1.80-1.83
H 0.3113 0.3321 0.9265  2 Cr 1.80-1.83
H 0.3113 0.4793 0.3849  2 Cr 1.80-1.83
H 0.3321 0.9056 0.0207  2 Cr 1.80-1.83
H 0.3321 0.9265 0.3113  2 Cr 1.80-1.83
H 0.3849 0.3113 0.4793  2 Cr 1.80-1.83
H 0.3849 0.5735 0.9056  2 Cr 1.80-1.83
H 0.4056 0.0735 0.8849  2 Cr 1.80-1.83
H 0.4056 0.8321 0.5207  2 Cr 1.80-1.83
H 0.4265 0.0944 0.6151  2 Cr 1.80-1.83
H 0.4265 0.8321 0.8113  2 Cr 1.80-1.83
H 0.4793 0.3849 0.3113  2 Cr 1.80-1.83
H 0.4793 0.5944 0.1679  2 Cr 1.80-1.83
H 0.5207 0.4056 0.8321  2 Cr 1.80-1.83
H 0.5207 0.6151 0.6887  2 Cr 1.80-1.83
H 0.5735 0.1679 0.1887  2 Cr 1.80-1.83
H 0.5735 0.9056 0.3849  2 Cr 1.80-1.83
H 0.5944 0.1679 0.4793  2 Cr 1.80-1.83
H 0.5944 0.9265 0.1151  2 Cr 1.80-1.83
H 0.6151 0.4265 0.0944  2 Cr 1.80-1.83
H 0.6151 0.6887 0.5207  2 Cr 1.80-1.83
H 0.6679 0.0735 0.6887  2 Cr 1.80-1.83
H 0.6679 0.0944 0.9793  2 Cr 1.80-1.83
H 0.6887 0.5207 0.6151  2 Cr 1.80-1.83
H 0.6887 0.6679 0.0735  2 Cr 1.80-1.83
H 0.8113 0.4265 0.8321  2 Cr 1.80-1.83
H 0.8113 0.8849 0.9793  2 Cr 1.80-1.83
H 0.8321 0.5207 0.4056  2 Cr 1.80-1.83
H 0.8321 0.8113 0.4265  2 Cr 1.80-1.83
H 0.8849 0.4056 0.0735  2 Cr 1.80-1.83
H 0.8849 0.9793 0.8113  2 Cr 1.80-1.83
H 0.9056 0.0207 0.3321  2 Cr 1.80-1.83
H 0.9056 0.3849 0.5735  2 Cr 1.80-1.83
H 0.9265 0.1151 0.5944  2 Cr 1.80-1.83
H 0.9265 0.3113 0.3321  2 Cr 1.80-1.83
H 0.9793 0.6679 0.0944  2 Cr 1.80-1.83
H 0.9793 0.8113 0.8849  2 Cr 1.80-1.83

Results
- raw total energy (eV per cell) = -358.24
- total magnetic moment (Bohr magnetons per cell) = 82.397

Record 7
Nd5Sn4: optimized geometry, PBE.

Unit cell a=8.3108 b=15.9768 c=8.4693 alpha=90.00 beta=90.00 gamma=90.00
Closest atoms and distances in Å follow each position.
Positions (direct):
Nd 0.0172 0.0990 0.1807  6 Sn 3.27-3.53
Nd 0.0172 0.4010 0.1807  6 Sn 3.27-3.53
Nd 0.1315 0.6204 0.3370  6 Sn 3.13-3.33
Nd 0.1315 0.8796 0.3370  6 Sn 3.13-3.33
Nd 0.1993 0.2500 0.5020  6 Sn 3.21-3.43
Nd 0.3007 0.7500 0.0020  6 Sn 3.21-3.43
Nd 0.3685 0.1204 0.8370  6 Sn 3.13-3.33
Nd 0.3685 0.3796 0.8370  6 Sn 3.13-3.33
Nd 0.4828 0.5990 0.6807  6 Sn 3.27-3.53
Nd 0.4828 0.9010 0.6807  6 Sn 3.27-3.53
Nd 0.5172 0.0990 0.3193  6 Sn 3.27-3.53
Nd 0.5172 0.4010 0.3193  6 Sn 3.27-3.53
Nd 0.6315 0.6204 0.1630  6 Sn 3.13-3.33
Nd 0.6315 0.8796 0.1630  6 Sn 3.13-3.33
Nd 0.6993 0.2500 0.9980  6 Sn 3.21-3.43
Nd 0.8007 0.7500 0.4980  6 Sn 3.21-3.43
Nd 0.8685 0.1204 0.6630  6 Sn 3.13-3.33
Nd 0.8685 0.3796 0.6630  6 Sn 3.13-3.33
Nd 0.9828 0.5990 0.8193  6 Sn 3.27-3.53
Nd 0.9828 0.9010 0.8193  6 Sn 3.27-3.53
Sn 0.0677 0.2500 0.8856  1 Sn 3.04, 5 Nd 3.21-3.27
Sn 0.1770 0.7500 0.6422  1 Sn 3.04, 6 Nd 3.22-3.36
Sn 0.2089 0.0417 0.5366  6 Nd 3.13-3.42
Sn 0.2089 0.4583 0.5366  6 Nd 3.13-3.42
Sn 0.2911 0.5417 0.0366  6 Nd 3.13-3.42
Sn 0.2911 0.9583 0.0366  6 Nd 3.13-3.42
Sn 0.3230 0.2500 0.1422  1 Sn 3.04, 6 Nd 3.22-3.36
Sn 0.4323 0.7500 0.3856  1 Sn 3.04, 5 Nd 3.21-3.27
Sn 0.5677 0.2500 0.6144  1 Sn 3.04, 5 Nd 3.21-3.27
Sn 0.6770 0.7500 0.8578  1 Sn 3.04, 6 Nd 3.22-3.36
Sn 0.7089 0.0417 0.9634  6 Nd 3.13-3.42
Sn 0.7089 0.4583 0.9634  6 Nd 3.13-3.42
Sn 0.7911 0.5417 0.4634  6 Nd 3.13-3.42
Sn 0.7911 0.9583 0.4634  6 Nd 3.13-3.42
Sn 0.8230 0.2500 0.3578  1 Sn 3.04, 6 Nd 3.22-3.36
Sn 0.9323 0.7500 0.1144  1 Sn 3.04, 5 Nd 3.21-3.27

Results
- energy relative to the lowest polymorph listed for this composition (meV per atom) = 0
- formation enthalpy at 0 K (meV per atom) = -758
- total magnetic moment (Bohr magnetons per cell) = 0.001

Record 8
NdDy2TmTl2: optimized geometry, PBE.

Unit cell a=5.1223 b=10.0178 c=6.8611 alpha=90.00 beta=90.00 gamma=90.00
Closest atoms and distances in Å follow each position.
Positions (direct):
Nd 0.0000 0.0443 0.0000  5 Tl 3.27-3.52, 2 Tm 3.54, 2 Nd 3.54
Nd 0.0000 0.9557 0.5000  5 Tl 3.27-3.52, 2 Tm 3.54, 2 Nd 3.54
Dy 0.0000 0.3177 0.3806  4 Tl 3.18-3.25, 2 Dy 3.51
Dy 0.0000 0.6823 0.8806  4 Tl 3.18-3.25, 2 Dy 3.51
Dy 0.5000 0.4540 0.0935  5 Tl 3.22-3.56, 4 Dy 3.51-3.55
Dy 0.5000 0.5460 0.5935  5 Tl 3.22-3.56, 4 Dy 3.51-3.55
Tm 0.5000 0.1929 0.7188  4 Tl 3.17-3.30, 2 Nd 3.54
Tm 0.5000 0.8071 0.2188  4 Tl 3.17-3.30, 2 Nd 3.54
Tl 0.0000 0.3661 0.8391  6 Dy 3.18-3.56, 2 Tm 3.20, 1 Nd 3.41
Tl 0.0000 0.6339 0.3391  6 Dy 3.18-3.56, 2 Tm 3.20, 1 Nd 3.41
Tl 0.5000 0.1349 0.2649  2 Tm 3.17-3.30, 3 Dy 3.25-3.41, 4 Nd 3.27-3.52
Tl 0.5000 0.8651 0.7649  2 Tm 3.17-3.30, 3 Dy 3.25-3.41, 4 Nd 3.27-3.52

Results
- formation enthalpy at 0 K (meV per atom) = -265
- total magnetic moment (Bohr magnetons per cell) = 0.000

Record 9
LiTi2Zn2: optimized geometry, PBE.

Unit cell a=6.9476 b=6.9476 c=6.9476 alpha=148.91 beta=148.91 gamma=44.55
Closest atoms and distances in Å follow each position.
Positions (direct):
Li 0.0000 0.0000 0.0000  8 Zn 2.90
Ti 0.2500 0.7500 0.5000  4 Ti 2.63, 4 Zn 2.74
Ti 0.7500 0.2500 0.5000  4 Ti 2.63, 4 Zn 2.74
Zn 0.4063 0.4063 0.0000  1 Zn 2.41
Zn 0.5937 0.5937 0.0000  1 Zn 2.41

Results
- energy relative to the lowest polymorph listed for this composition (meV per atom) = 115
- formation enthalpy at 0 K (meV per atom) = 162
- total magnetic moment (Bohr magnetons per cell) = 0.000